# 1
Here is Co2HgPb after structural relaxation from Alexandria via LeMat-Bulk. Energies are from PBE-GGA.

Output
Its space group is R-3m (166). Its offset from the most stable computed form is 285 meV/atom. As for the calculated volume: 71 Å³/cell. The density of states at the Fermi level comes out at 4.9 states/eV/f.u. As for the mass density: 12.30 g/cm³.

Cell lengths 8.2741, 8.2741, 8.2741 Å; angles 22.21, 22.21, 22.21 degrees
Atoms (fractional coordinates):
Co 0.2502 0.2502 0.2502
Co 0.7498 0.7498 0.7498
Hg 0.0000 0.0000 0.0000
Pb 0.5000 0.5000 0.5000

# 2
Here is In2PbF2 after structural relaxation from Alexandria via LeMat-Bulk. Energies are from PBE-GGA.

Output
Its space group is P4/mbm (127). Its offset from the most stable computed form is 145 meV/atom. As for the calculated volume: 219 Å³/cell. The density of states at the Fermi level comes out at 1.3 states/eV/f.u. As for the mass density: 7.21 g/cm³. The calculation puts the uncorrected formation energy at -1.113 eV per atom.

Cell lengths 8.2744, 8.2744, 3.1956 Å; angles 90.00, 90.00, 90.00 degrees
Atoms (fractional coordinates):
In 0.1415 0.3585 0.0000
In 0.3585 0.8585 0.0000
In 0.6415 0.1415 0.0000
In 0.8585 0.6415 0.0000
Pb 0.0000 0.0000 0.0000
Pb 0.5000 0.5000 0.0000
F 0.1072 0.6072 0.5000
F 0.3928 0.1072 0.5000
F 0.6072 0.8928 0.5000
F 0.8928 0.3928 0.5000